No. 1
# TlInCl2

TlInCl2 after structural relaxation (PBE-GGA, Alexandria).

abc: 4.4604 4.4604 25.3354
angles: 90.00 90.00 120.00
Space group R3m (No. 160, hexagonal axes)
Asymmetric unit:
Tl 0.0000 0.0000 0.0000 [3 per cell]
In 0.0000 0.0000 0.2325 [3 per cell]
Cl 0.0000 0.0000 0.5162 [3 per cell]
Cl 0.0000 0.0000 0.7207 [3 per cell]

Summary:
Its calculated volume is 36.38 Å³ per atom. The calculated total energy comes out at -11.963 eV/f.u. The distance to the lowest polymorph of the same formula is 118 meV/atom. For the density, the calculation gives 4.5 g/cm³.

***

No. 2
# Tl2In2Cl

Tl2In2Cl after structural relaxation (PBE-GGA, Alexandria).

abc: 8.720 8.720 4.055
angles: 90.00 90.00 90.00
Space group P4/mbm (No. 127)
Asymmetric unit:
Tl 0.179 0.321 0.000 [4 per cell]
In 0.126 0.626 0.500 [4 per cell]
Cl 0.000 0.000 0.000 [2 per cell]

Summary:
Its calculated volume is 30.84 Å³ per atom. The calculated total energy comes out at -12.948 eV/f.u. The distance to the lowest polymorph of the same formula is 19 meV/atom. For the density, the calculation gives 7.3 g/cm³.

***

No. 3
# TlIn2Cl2

TlIn2Cl2 after structural relaxation (PBE-GGA, Alexandria).

abc: 4.804 4.804 13.892
angles: 90.00 90.00 90.00
Space group I4/mmm (No. 139)
Asymmetric unit:
Tl 0.000 0.000 0.000 [2 per cell]
In 0.000 0.000 0.375 [4 per cell]
Cl 0.000 0.500 0.250 [4 per cell]

Summary:
Its calculated volume is 32.06 Å³ per atom. The calculated total energy comes out at -13.962 eV/f.u. For the density, the calculation gives 5.2 g/cm³.

***

No. 4
# TlInCl

TlInCl after structural relaxation (PBE-GGA, Alexandria).

abc: 3.6275 3.6275 7.5319
angles: 90.00 90.00 120.00
Space group P3m1 (No. 156)
Asymmetric unit:
Tl 0.0000 0.0000 0.0000 [1 per cell]
In 0.3333 0.6667 0.6217 [1 per cell]
Cl 0.6667 0.3333 0.3538 [1 per cell]

Summary:
Its calculated volume is 28.61 Å³ per atom. The calculated total energy comes out at -8.300 eV/f.u. The distance to the lowest polymorph of the same formula is 37 meV/atom. For the density, the calculation gives 6.9 g/cm³.